Entry 1:
Density functional theory data (GGA-PBE) for a relaxed NbVGeN2 crystal.

Unit cell a=3.7666 b=5.2645 c=3.7666 alpha=90.00 beta=90.00 gamma=90.00
Closest atoms and distances in Å follow each position.
Fractional coordinates of all 5 atoms:
Ge: 0.5000 0.5000 0.5000  4 Nb 2.66
Nb: 0.0000 0.5000 0.0000  2 V 2.63, 4 Ge 2.66
N: 0.0000 0.0000 0.5000  2 V 1.88
N: 0.5000 0.0000 0.0000  2 V 1.88
V: 0.0000 0.0000 0.0000  4 N 1.88

formation energy without anion corrections = 63 kJ/mol of atoms
raw total energy = -37.2 eV/cell
spin magnetization = 0.000 μB per cell
space-group type = No. 123

***

Entry 2:
Density functional theory data (GGA-PBE) for a relaxed Pr2MgNi9 crystal.

Unit cell a=8.5829 b=8.5829 c=8.5829 alpha=33.85 beta=33.85 gamma=33.85
Closest atoms and distances in Å follow each position.
Fractional coordinates of all 12 atoms:
Ni: 0.0843 0.5823 0.5823  7 Ni 2.47-2.51
Ni: 0.5823 0.5823 0.0843  7 Ni 2.47-2.51
Ni: 0.4173 0.9188 0.4173  7 Ni 2.44-2.53
Ni: 0.6669 0.6669 0.6669  6 Ni 2.47
Ni: 0.5823 0.0843 0.5823  7 Ni 2.47-2.51
Ni: 0.4173 0.4173 0.9188  7 Ni 2.44-2.53
Ni: 0.4991 0.4991 0.4991  6 Ni 2.47-2.53
Ni: 0.3327 0.3327 0.3327  6 Ni 2.44-2.49
Ni: 0.9188 0.4173 0.4173  7 Ni 2.44-2.53
Pr: 0.8567 0.8567 0.8567  12 Ni 2.91-2.97, 3 Mg 3.15
Pr: 0.0040 0.0040 0.0040  12 Ni 2.89-3.15
Mg: 0.1383 0.1383 0.1383  12 Ni 2.84-3.09, 3 Pr 3.15

raw total energy = -66.6 eV/cell
ΔH_f (0 K) = -0.284 eV per atom
distance to the lowest polymorph of the same formula = 0.0 kJ/mol of atoms
spin magnetization = 1.275 μB per cell
space-group type = No. 160

***

Entry 3:
Density functional theory data (GGA-PBE) for a relaxed BaScAl2Ru crystal.

Unit cell a=4.9398 b=4.9398 c=4.9777 alpha=90.00 beta=90.00 gamma=90.00
Closest atoms and distances in Å follow each position.
Fractional coordinates of all 5 atoms:
Sc: 0.0000 0.0000 0.5000  2 Ru 2.49
Al: 0.5000 0.0000 0.0000  2 Ru 2.47
Al: 0.0000 0.5000 0.0000  2 Ru 2.47
Ru: 0.0000 0.0000 0.0000  4 Al 2.47, 2 Sc 2.49
Ba: 0.5000 0.5000 0.5000  4 Sc 3.49, 8 Al 3.51

raw total energy = -26.7 eV/cell
ΔH_f (0 K) = -0.334 eV per atom
spin magnetization = 0.000 μB per cell
space-group type = No. 123

***

Entry 4:
Density functional theory data (GGA-PBE) for a relaxed LiHoTh2As4 crystal.

Unit cell a=4.2473 b=7.3404 c=7.0710 alpha=109.88 beta=90.00 gamma=90.00
Closest atoms and distances in Å follow each position.
Fractional coordinates of all 8 atoms:
As: 0.5000 0.7514 0.7582  1 Li 2.91, 2 Ho 2.94, 3 Th 2.99
As: 0.5000 0.2486 0.2418  1 Li 2.91, 2 Ho 2.94, 3 Th 2.99
As: 0.0000 0.2494 0.7515  1 Ho 2.94, 3 Th 2.96-2.97, 2 Li 2.96
As: 0.0000 0.7506 0.2485  1 Ho 2.94, 3 Th 2.96-2.97, 2 Li 2.96
Li: 0.5000 0.5000 0.0000  6 As 2.91-2.96
Th: 0.5000 0.0000 0.5000  6 As 2.97-2.99
Th: 0.0000 0.5000 0.5000  6 As 2.96-2.99
Ho: 0.0000 0.0000 0.0000  6 As 2.94

raw total energy = -49.4 eV/cell
ΔH_f (0 K) = -1.181 eV per atom
spin magnetization = 0.000 μB per cell
space-group type = No. 10

***

Entry 5:
Density functional theory data (GGA-PBE) for a relaxed AcU2O7 crystal.

Unit cell a=3.7630 b=3.7630 c=9.5015 alpha=101.42 beta=101.42 gamma=90.00
Closest atoms and distances in Å follow each position.
Fractional coordinates of all 10 atoms:
O: 0.1132 0.6132 0.2265  2 U 2.14
O: 0.6132 0.1132 0.2265  2 U 2.14
O: 0.5000 0.5000 0.0000  4 Ac 2.66, 8 O 2.79
O: 0.3868 0.8868 0.7735  2 U 2.14
O: 0.2500 0.7500 0.5000  4 U 2.39, 6 O 2.50-2.66
O: 0.8868 0.3868 0.7735  2 U 2.14
O: 0.7500 0.2500 0.5000  4 U 2.39, 6 O 2.50-2.66
Ac: 0.0000 0.0000 0.0000  12 O 2.66-2.79
U: 0.6693 0.6693 0.3387  8 O 2.14-2.39
U: 0.3307 0.3307 0.6613  8 O 2.14-2.39

formation energy without anion corrections = -305 kJ/mol of atoms
raw total energy = -93.0 eV/cell
distance to the lowest polymorph of the same formula = 1.6 kJ/mol of atoms
spin magnetization = 1.053 μB per cell
space-group type = No. 139

***

Entry 6:
Density functional theory data (GGA-PBE) for a relaxed ReTcRh crystal.

Unit cell a=4.1803 b=4.1803 c=4.1803 alpha=60.00 beta=60.00 gamma=60.00
Closest atoms and distances in Å follow each position.
Fractional coordinates of all 3 atoms:
Re: 0.7500 0.7500 0.7500  4 Tc 2.56, 4 Rh 2.56
Tc: 0.5000 0.5000 0.5000  4 Re 2.56
Rh: 0.0000 0.0000 0.0000  4 Re 2.56

raw total energy = -28.8 eV/cell
ΔH_f (0 K) = 0.451 eV per atom
distance to the lowest polymorph of the same formula = 52.2 kJ/mol of atoms
spin magnetization = 0.000 μB per cell
space-group type = No. 216

***

Entry 7:
Density functional theory data (GGA-PBE) for a relaxed ZnGa2Te crystal.

Unit cell a=6.3406 b=6.3406 c=7.2565 alpha=64.09 beta=64.09 gamma=90.00
Closest atoms and distances in Å follow each position.
Fractional coordinates of all 8 atoms:
Zn: 0.5000 0.5000 0.0000  4 Ga 2.53
Zn: 0.2500 0.7500 0.5000  4 Ga 2.53
Te: 0.0000 0.0000 0.0000  4 Ga 2.80
Te: 0.7500 0.2500 0.5000  4 Ga 2.80
Ga: 0.8750 0.8392 0.7500  2 Zn 2.53, 2 Te 2.80
Ga: 0.5892 0.1250 0.2500  2 Zn 2.53, 2 Te 2.80
Ga: 0.3750 0.4108 0.7500  2 Zn 2.53, 2 Te 2.80
Ga: 0.1608 0.6250 0.2500  2 Zn 2.53, 2 Te 2.80

formation energy without anion corrections = 3 kJ/mol of atoms
raw total energy = -20.7 eV/cell
distance to the lowest polymorph of the same formula = 0.0 kJ/mol of atoms
spin magnetization = 0.000 μB per cell
space-group type = No. 122

***

Entry 8:
Density functional theory data (GGA-PBE) for a relaxed LaZr2Pd9 crystal.

Unit cell a=4.0975 b=4.0975 c=12.3098 alpha=90.00 beta=90.00 gamma=90.00
Closest atoms and distances in Å follow each position.
Fractional coordinates of all 12 atoms:
La: 0.0000 0.0000 0.0000  12 Pd 2.90-3.02
Zr: 0.0000 0.0000 0.6636  12 Pd 2.81-2.90
Zr: 0.0000 0.0000 0.3364  12 Pd 2.81-2.90
Pd: 0.0000 0.5000 0.8202  2 Zr 2.81, 8 Pd 2.84-3.02, 2 La 3.02
Pd: 0.5000 0.0000 0.8202  2 Zr 2.81, 8 Pd 2.84-3.02, 2 La 3.02
Pd: 0.5000 0.5000 0.0000  4 La 2.90, 8 Pd 3.02
Pd: 0.5000 0.0000 0.1798  2 Zr 2.81, 8 Pd 2.84-3.02, 2 La 3.02
Pd: 0.5000 0.5000 0.6601  8 Pd 2.84, 4 Zr 2.90
Pd: 0.5000 0.0000 0.5000  8 Pd 2.84-2.90, 4 Zr 2.87
Pd: 0.5000 0.5000 0.3399  8 Pd 2.84, 4 Zr 2.90
Pd: 0.0000 0.5000 0.1798  2 Zr 2.81, 8 Pd 2.84-3.02, 2 La 3.02
Pd: 0.0000 0.5000 0.5000  8 Pd 2.84-2.90, 4 Zr 2.87

raw total energy = -78.5 eV/cell
ΔH_f (0 K) = -0.809 eV per atom
spin magnetization = 0.000 μB per cell
space-group type = No. 123